Density functional theory data (PBE with a Hubbard U) for an optimized crystal structure of NpCr2FeO6.

a = 5.3588 Å, b = 5.3659 Å, c = 5.6164 Å
α = 61.86°, β = 62.25°, γ = 60.24°
Space group P1 (No. 1)
One atom of each set of equivalent atoms:
Np 0.0000 0.0000 0.0000 x1
Cr 0.2932 0.2906 0.1249 x1
Cr 0.7899 0.7906 0.6285 x1
Fe 0.4965 0.4934 0.5055 x1
O 0.0717 0.6605 0.8398 x1
O 0.1775 0.5725 0.3380 x1
O 0.4285 0.0695 0.8375 x1
O 0.5813 0.9173 0.3315 x1
O 0.6596 0.4289 0.8292 x1
O 0.9218 0.1700 0.3343 x1

Calculated total energy (eV per atom): -8.40